(1)
HfZnPd | PBE | relaxed

Structure (extended XYZ):
```
6
Lattice="5.2764 0.0000 0.0000 0.0001 4.3814 -0.0020 0.0001 2.1926 4.4730" Properties=species:S:1:pos:R:3 pbc="T T T"
Zn 4.9749 1.8405 1.8756
Zn 2.3365 1.8405 1.8751
Hf 3.6553 4.0304 0.0745
Hf 1.0173 4.0317 3.6736
Pd 3.6553 4.0315 2.8595
Pd 1.0169 4.0306 0.8884
```

Summary:
Energy relative to the elements, meV/atom: -561



(2)
NaInC | PBE | relaxed

Structure (extended XYZ):
```
12
Lattice="-4.0130 2.6823 -2.1252 -2.5208 -4.5321 -0.9601 -4.1569 0.5123 8.4961" Properties=species:S:1:pos:R:3 pbc="T T T"
Na -1.9052 -3.4253 -0.7256
Na -2.6941 -0.8506 4.0136
Na -2.0192 0.7831 1.6050
Na -6.1507 2.4115 4.7659
C -2.0882 1.1943 -1.0937
C -6.5241 -2.7879 2.2565
C -6.1826 0.4574 -0.4123
C -4.5081 -1.7949 5.8232
In -6.1653 -1.1120 1.0109
In -5.5646 -0.0973 6.5240
In -5.5590 -2.0838 4.0063
In -4.0925 0.6183 -0.7195
```

Summary:
Energy relative to the elements, meV/atom: 998



(3)
KW | PBE | relaxed

Structure (extended XYZ):
```
4
Lattice="2.7630 0.0000 0.0000 0.0000 4.6621 0.0000 0.0000 0.0000 9.6919" Properties=species:S:1:pos:R:3 pbc="T T T"
K 0.0000 0.0000 9.3077
K 0.0000 2.3311 3.6149
W 1.3815 0.0000 6.0209
W 1.3815 2.3311 6.9017
```

Summary:
Energy relative to the elements, meV/atom: 1317



(4)
CrRh3W | PBE | relaxed

Structure (extended XYZ):
```
5
Lattice="4.4055 0.0000 0.0000 0.0000 4.4055 0.0000 0.0000 0.0000 4.4055" Properties=species:S:1:pos:R:3 pbc="T T T"
Cr 0.0000 0.0000 0.0000
Rh 0.0000 2.2028 0.0000
Rh 0.0000 0.0000 2.2028
Rh 2.2028 0.0000 0.0000
W 2.2028 2.2028 2.2028
```

Summary:
Energy relative to the elements, meV/atom: 1287



Q: Among the records above, which one has the lowest energy relative to the elements?
A: HfZnPd



Q: Which of these has the lowest energy relative to the elements?
A: HfZnPd



Q: What is the formula in the second record?
A: NaInC



Q: The highest energy relative to the elements belongs to which entry?
A: KW